Entry 1:
Below is a relaxed YCrN2 crystal, with properties calculated at the GGA-PBE level.

```
data_YCrN2
_space_group_name_H-M_alt 'P 1'
_space_group_IT_number 1
_cell_length_a 6.1729
_cell_length_b 6.1729
_cell_length_c 6.1729
_cell_angle_alpha 33.86
_cell_angle_beta 33.86
_cell_angle_gamma 33.86
loop_
_space_group_symop_operation_xyz
'x,y,z'
loop_
_atom_site_label
_atom_site_fract_x
_atom_site_fract_y
_atom_site_fract_z
Y1 0.0000 0.0000 0.0000
Cr1 0.5000 0.5000 0.5000
N1 0.3993 0.3993 0.3993
N2 0.6007 0.6007 0.6007
```

Uncorrected formation energy: -0.565 eV/atom
Energy: -8.7498 eV per atom
D(E_F): 1.43 states/eV/cell



Entry 2:
Below is a relaxed Y2CrN crystal, with properties calculated at the GGA-PBE level.

```
data_Y2CrN
_space_group_name_H-M_alt 'P 1'
_space_group_IT_number 1
_cell_length_a 6.3248
_cell_length_b 6.3248
_cell_length_c 6.3248
_cell_angle_alpha 114.95
_cell_angle_beta 114.95
_cell_angle_gamma 99.00
loop_
_space_group_symop_operation_xyz
'x,y,z'
loop_
_atom_site_label
_atom_site_fract_x
_atom_site_fract_y
_atom_site_fract_z
Y1 0.0275 0.6250 0.9025
Y2 0.3750 0.2775 0.4025
Y3 0.7225 0.1250 0.0975
Y4 0.8750 0.9725 0.5975
Cr1 0.2500 0.7500 0.5000
Cr2 0.5000 0.5000 0.0000
N1 0.0000 0.0000 0.0000
N2 0.7500 0.2500 0.5000
```

Uncorrected formation energy: -0.209 eV/atom
Energy: -7.9283 eV per atom
D(E_F): 4.10 states/eV/cell



Entry 3:
Below is a relaxed YCr2N crystal, with properties calculated at the GGA-PBE level.

```
data_YCr2N
_space_group_name_H-M_alt 'P 1'
_space_group_IT_number 1
_cell_length_a 5.8657
_cell_length_b 5.8657
_cell_length_c 5.8657
_cell_angle_alpha 119.84
_cell_angle_beta 119.84
_cell_angle_gamma 90.27
loop_
_space_group_symop_operation_xyz
'x,y,z'
loop_
_atom_site_label
_atom_site_fract_x
_atom_site_fract_y
_atom_site_fract_z
Y1 0.0000 0.0000 0.0000
Y2 0.7500 0.2500 0.5000
Cr1 0.3391 0.1250 0.7141
Cr2 0.3750 0.6609 0.7859
Cr3 0.4109 0.6250 0.2859
Cr4 0.8750 0.5891 0.2141
N1 0.2500 0.7500 0.5000
N2 0.5000 0.5000 0.0000
```

Uncorrected formation energy: -0.016 eV/atom
Energy: -8.5249 eV per atom
D(E_F): 10.00 states/eV/cell